No. 1
A relaxed structure of PrCdPt2. Source: Alexandria, functional PBE. Values from VASP.

As for the crystal system: tetragonal. The space group is No. 123.

```
&SYSTEM
  ibrav = 0, nat = 4, ntyp = 3
/
ATOMIC_SPECIES
Pr 140.91 Pr.upf
Cd 112.41 Cd.upf
Pt 195.08 Pt.upf
CELL_PARAMETERS angstrom
4.7742 0.0000 0.0000
0.0000 4.7742 0.0000
0.0000 0.0000 3.6734
ATOMIC_POSITIONS angstrom
Pr 0.0000 0.0000 0.0000
Cd 2.3871 2.3871 0.0000
Pt 0.0000 2.3871 1.8367
Pt 2.3871 0.0000 1.8367
```



No. 2
A relaxed structure of PrCdPt2. Source: Alexandria, functional PBE. Values from VASP.

As for the crystal system: tetragonal. The space group is No. 123.

```
&SYSTEM
  ibrav = 0, nat = 4, ntyp = 3
/
ATOMIC_SPECIES
Pr 140.91 Pr.upf
Cd 112.41 Cd.upf
Pt 195.08 Pt.upf
CELL_PARAMETERS angstrom
3.6863 0.0000 0.0000
0.0000 3.6863 0.0000
0.0000 0.0000 6.1726
ATOMIC_POSITIONS angstrom
Pr 0.0000 0.0000 0.0000
Cd 0.0000 0.0000 3.0863
Pt 1.8431 1.8431 1.6767
Pt 1.8431 1.8431 4.4959
```



No. 3
A relaxed structure of Pr6CdPt2. Source: Alexandria, functional PBE. Values from VASP.

As for the crystal system: orthorhombic. The space group is No. 71.

```
&SYSTEM
  ibrav = 0, nat = 18, ntyp = 3
/
ATOMIC_SPECIES
Pr 140.91 Pr.upf
Cd 112.41 Cd.upf
Pt 195.08 Pt.upf
CELL_PARAMETERS angstrom
-4.8694 5.1043 5.4574
4.8694 -5.1043 5.4574
4.8694 5.1043 -5.4574
ATOMIC_POSITIONS angstrom
Pr 4.8694 3.0879 -2.8868
Pr 2.8245 1.8387 0.0000
Pr 6.9143 1.8387 0.0000
Pr 1.9038 5.1043 -1.8727
Pr 2.9656 0.0000 3.5848
Pr 0.0000 2.0163 2.5707
Pr 4.8694 3.0879 2.8868
Pr 1.9038 5.1043 1.8727
Pr 2.9656 0.0000 7.3301
Pr -2.0449 3.2655 5.4574
Pr 2.0449 3.2655 5.4574
Pr 0.0000 2.0163 8.3442
Cd 0.0000 0.0000 0.0000
Cd 0.0000 0.0000 5.4574
Pt 4.8694 0.0000 1.4279
Pt 0.0000 3.5010 0.0000
Pt 0.0000 6.7075 0.0000
Pt 0.0000 5.1043 4.0296
```



No. 4
A relaxed structure of PrCd3Pt. Source: Alexandria, functional PBE. Values from VASP.

As for the crystal system: tetragonal. The space group is No. 119. As for the relative energy among the computed polymorphs: 294.9 meV/atom.

```
&SYSTEM
  ibrav = 0, nat = 10, ntyp = 3
/
ATOMIC_SPECIES
Pr 140.91 Pr.upf
Cd 112.41 Cd.upf
Pt 195.08 Pt.upf
CELL_PARAMETERS angstrom
-2.7719 2.7719 9.3640
2.7719 -2.7719 9.3640
2.7719 2.7719 -9.3640
ATOMIC_POSITIONS angstrom
Pr 0.0000 0.0000 3.6704
Pr 0.0000 0.0000 15.0576
Cd 1.4081 2.7719 -2.3106
Cd 1.3639 0.0000 7.0534
Cd 2.7719 1.4081 2.3106
Cd 0.0000 2.7719 0.6991
Cd 0.0000 1.3639 11.6745
Cd 0.0000 2.7719 8.6649
Pt 2.7719 0.0000 4.6820
Pt 0.0000 0.0000 9.3640
```



no.,final energy (eV per atom),ΔE_f (eV per formula unit)
1,-5.105,-2.64
2,-5.131,-2.75
3,-5.211,-5.23
4,-2.911,-0.99